Record 1
# LaSi3Pd (PBE, optimized geometry)
data_LaSi3Pd
_chemical_formula_sum 'La2 Si6 Pd2'
_symmetry_space_group_name_H-M 'P m n 21'
_symmetry_Int_Tables_number 31
_cell_length_a 6.0071
_cell_length_b 5.6843
_cell_length_c 5.8948
_cell_angle_alpha 90.00
_cell_angle_beta 90.00
_cell_angle_gamma 90.00
loop_
_symmetry_equiv_pos_as_xyz
'x,y,z'
'-x+1/2,-y,z+1/2'
'-x,y,z'
'x+1/2,-y,z+1/2'
loop_
_atom_site_label
_atom_site_type_symbol
_atom_site_fract_x
_atom_site_fract_y
_atom_site_fract_z
_atom_site_occupancy
La1 La 0.0000 0.1436 0.0000 1
Si1 Si 0.0000 0.9556 0.5200 1
Si2 Si 0.2044 0.3209 0.4947 1
Pd1 Pd 0.0000 0.6197 0.2681 1
# - formation energy without anion corrections (kJ/mol of formula units) = -280.1
# - total magnetization (μB per formula unit) = 0.0



Record 2
# LaSiPd3 (PBE, optimized geometry)
data_LaSiPd3
_chemical_formula_sum 'La1 Si1 Pd3'
_symmetry_space_group_name_H-M 'P m -3 m'
_symmetry_Int_Tables_number 221
_symmetry_space_group_name_Hall '-P 4 2 3'
_cell_length_a 5.1277
_cell_length_b 5.1277
_cell_length_c 5.1277
_cell_angle_alpha 90.00
_cell_angle_beta 90.00
_cell_angle_gamma 90.00
loop_
_atom_site_label
_atom_site_type_symbol
_atom_site_fract_x
_atom_site_fract_y
_atom_site_fract_z
_atom_site_occupancy
La1 La 0.0000 0.0000 0.0000 1
Si1 Si 0.5000 0.5000 0.5000 1
Pd1 Pd 0.0000 0.0000 0.5000 1
# - formation energy without anion corrections (kJ/mol of formula units) = 407.7
# - total magnetization (μB per formula unit) = 0.0



Record 3
# La3SiPd5 (PBE, optimized geometry)
data_La3SiPd5
_chemical_formula_sum 'La12 Si4 Pd20'
_symmetry_space_group_name_H-M 'I m m a'
_symmetry_Int_Tables_number 74
_symmetry_space_group_name_Hall '-I 2b 2'
_cell_length_a 7.5160
_cell_length_b 13.2281
_cell_length_c 7.7175
_cell_angle_alpha 90.00
_cell_angle_beta 90.00
_cell_angle_gamma 90.00
loop_
_atom_site_label
_atom_site_type_symbol
_atom_site_fract_x
_atom_site_fract_y
_atom_site_fract_z
_atom_site_occupancy
La1 La 0.0000 0.0499 0.2292 1
La2 La 0.0000 0.2500 0.8645 1
Si1 Si 0.0000 0.2500 0.4616 1
Pd1 Pd 0.1986 0.1079 0.5626 1
Pd2 Pd 0.2500 0.2500 0.2500 1
# - formation energy without anion corrections (kJ/mol of formula units) = -780.6
# - total magnetization (μB per formula unit) = 0.0



Record 4
# La2SiPd2 (PBE, optimized geometry)
data_La2SiPd2
_chemical_formula_sum 'La8 Si4 Pd8'
_symmetry_space_group_name_H-M 'C 1 2/m 1'
_symmetry_Int_Tables_number 12
_cell_length_a 11.1841
_cell_length_b 4.2619
_cell_length_c 11.3986
_cell_angle_alpha 90.00
_cell_angle_beta 116.92
_cell_angle_gamma 90.00
loop_
_symmetry_equiv_pos_as_xyz
'x,y,z'
'-x,-y,-z'
'-x,y,-z'
'x,-y,z'
'x+1/2,y+1/2,z'
'-x+1/2,-y+1/2,-z'
'-x+1/2,y+1/2,-z'
'x+1/2,-y+1/2,z'
loop_
_atom_site_label
_atom_site_type_symbol
_atom_site_fract_x
_atom_site_fract_y
_atom_site_fract_z
_atom_site_occupancy
La1 La 0.0895 0.0000 0.3933 1
La2 La 0.1920 0.5000 0.1376 1
Si1 Si 0.0789 0.5000 0.8209 1
Pd1 Pd 0.0445 0.0000 0.9061 1
Pd2 Pd 0.1276 0.5000 0.6227 1
# - formation energy without anion corrections (kJ/mol of formula units) = -399.8
# - total magnetization (μB per formula unit) = 0.0